1.
This record from Alexandria via LeMat-Bulk describes a geometry-optimized Sb3PdBr structure. The functional is GGA-PBE.

Calculated values
Its calculated total energy is -13.398 eV for the cell shown.

Cell lengths 5.4219, 5.4219, 5.4219 Å; angles 90.00, 90.00, 90.00 degrees
Space group Pm-3m (No. 221)
Inequivalent atoms, fractional coordinates:
Sb: 0.0000 0.0000 0.5000 (multiplicity 3)
Pd: 0.5000 0.5000 0.5000 (multiplicity 1)
Br: 0.0000 0.0000 0.0000 (multiplicity 1)

***

2.
This record from Alexandria via LeMat-Bulk describes a geometry-optimized BeRe2Sb structure. The functional is GGA-PBE.

Calculated values
Its calculated total energy is -121.970 eV for the cell shown.

Cell lengths 6.1918, 6.1918, 6.1918 Å; angles 90.00, 90.00, 90.00 degrees
Space group Fm-3m (No. 225)
Inequivalent atoms, fractional coordinates:
Be: 0.0000 0.0000 0.0000 (multiplicity 4)
Re: 0.2500 0.2500 0.2500 (multiplicity 8)
Sb: 0.0000 0.0000 0.5000 (multiplicity 4)

***

3.
This record from Alexandria via LeMat-Bulk describes a geometry-optimized AgBi6Rh structure. The functional is GGA-PBE.

Calculated values
Its formation enthalpy at 0 K is 0.07 eV per atom.

Cell lengths 8.2274, 12.2942, 5.7076 Å; angles 90.00, 125.57, 90.00 degrees
Space group C2/m (No. 12)
Inequivalent atoms, fractional coordinates:
Ag: 0.0000 0.0000 0.0000 (multiplicity 2)
Bi: 0.2216 0.5000 0.2518 (multiplicity 4)
Bi: 0.2397 0.3086 0.7377 (multiplicity 8)
Rh: 0.0000 0.5000 0.5000 (multiplicity 2)

***

Number 1 is which compound? Sb3PdBr